(1)
This record from Alexandria via LeMat-Bulk describes a relaxed structure of SrZrSe3. The functional is PBE.

Output
Final energy in eV/cell: -19.28
Total moment in μB/f.u.: 0.0
ΔE_f (raw) in eV per atom: 0.2806

Unit cell a=5.4925 b=5.4925 c=5.4925 alpha=90.00 beta=90.00 gamma=90.00
With the nearest neighbours (Å) after each atom.
Positions (direct):
Se: 0.0000 0.5000 0.0000  2 Sr 2.75
Se: 0.5000 0.0000 0.0000  2 Sr 2.75
Sr: 0.0000 0.0000 0.0000  6 Se 2.75
Zr: 0.5000 0.5000 0.5000  12 Se 3.88
Se: 0.0000 0.0000 0.5000  2 Sr 2.75



(2)
This record from Alexandria via LeMat-Bulk describes a relaxed structure of Al4Os. The functional is PBE.

Output
Final energy in eV/cell: -26.75
Total moment in μB/f.u.: 0.0

Unit cell a=4.9942 b=4.9942 c=4.9942 alpha=109.47 beta=109.47 gamma=109.47
With the nearest neighbours (Å) after each atom.
Positions (direct):
Al: 0.5000 0.5000 0.5000  2 Os 2.50
Al: 0.0000 0.0000 0.5000  2 Os 2.50
Al: 0.5000 0.0000 0.0000  2 Os 2.50
Al: 0.0000 0.5000 0.0000  2 Os 2.50
Os: 0.0000 0.0000 0.0000  8 Al 2.50



(3)
This record from Alexandria via LeMat-Bulk describes a relaxed structure of Sr6LiHg2. The functional is PBE.

Output
Final energy in eV/cell: -29.49
Total moment in μB/f.u.: 0.0

Unit cell a=9.9904 b=9.9904 c=9.9904 alpha=102.50 beta=111.82 gamma=114.33
With the nearest neighbours (Å) after each atom.
Positions (direct):
Sr: 0.6885 0.0262 0.3377  3 Hg 3.29-3.56
Sr: 0.4692 0.2890 0.1802  3 Hg 3.46-3.47, 1 Li 3.73
Sr: 0.8050 0.2432 0.0483  1 Hg 3.32
Hg: 0.6871 0.0000 0.6871  8 Sr 3.32-3.56, 1 Li 3.50
Hg: 0.5000 0.6313 0.1313  1 Hg 3.28, 6 Sr 3.29-3.46
Sr: 0.5308 0.7110 0.8198  3 Hg 3.46-3.47, 1 Li 3.73
Sr: 0.8911 0.7110 0.1802  3 Hg 3.46-3.47, 1 Li 3.73
Hg: 0.3129 0.0000 0.3129  8 Sr 3.32-3.56, 1 Li 3.50
Sr: 0.1950 0.2432 0.4382  1 Hg 3.32
Sr: 0.1089 0.2890 0.8198  3 Hg 3.46-3.47, 1 Li 3.73
Sr: 0.3115 0.6492 0.3377  3 Hg 3.29-3.56
Sr: 0.3115 0.9738 0.6623  3 Hg 3.29-3.56
Li: 0.0000 0.0000 0.0000  2 Hg 3.50, 8 Sr 3.73-3.74
Sr: 0.8050 0.7568 0.5618  1 Hg 3.32
Hg: 0.5000 0.3687 0.8687  1 Hg 3.28, 6 Sr 3.29-3.46
Sr: 0.6885 0.3508 0.6623  3 Hg 3.29-3.56
Sr: 0.1950 0.7568 0.9517  1 Hg 3.32
Li: 0.0000 0.5000 0.5000  12 Sr 3.88-4.25



(4)
This record from Alexandria via LeMat-Bulk describes a relaxed structure of AgSnF5. The functional is PBE.

Output
Final energy in eV/cell: -61.34
Total moment in μB/f.u.: 0.0
ΔE_f (raw) in eV per atom: -2.0660

Unit cell a=5.9874 b=5.9874 c=8.3073 alpha=98.24 beta=110.89 gamma=107.85
With the nearest neighbours (Å) after each atom.
Positions (direct):
F: 0.2755 0.2845 0.9967  1 Sn 1.99
F: 0.6054 0.7681 0.3820  1 Sn 1.97
F: 0.2586 0.0086 0.2500  2 Sn 2.08
F: 0.7878 0.2788 0.5033  1 Sn 1.99
Sn: 0.5000 0.0000 0.5000  6 F 1.97-2.08
Sn: 0.0000 0.0000 0.0000  6 F 1.97-2.08
F: 0.1139 0.7767 0.8820  1 Sn 1.97
F: 0.3946 0.2319 0.6180  1 Sn 1.97
Ag: 0.2544 0.5044 0.7500  6 F 2.36-2.60
F: 0.7245 0.7155 0.0033  1 Sn 1.99
Ag: 0.7456 0.4956 0.2500  6 F 2.36-2.60
F: 0.2122 0.7212 0.4967  1 Sn 1.99
F: 0.7414 0.9914 0.7500  2 Sn 2.08
F: 0.8861 0.2233 0.1180  1 Sn 1.97



(5)
This record from Alexandria via LeMat-Bulk describes a relaxed structure of Li3AcSi. The functional is PBE.

Output
Final energy in eV/cell: -64.67
Total moment in μB/f.u.: 0.0
ΔE_f (raw) in eV per atom: -0.1788

Unit cell a=4.5088 b=9.3415 c=10.7341 alpha=90.00 beta=90.00 gamma=90.00
With the nearest neighbours (Å) after each atom.
Positions (direct):
Si: 0.7500 0.8785 0.3531  7 Li 2.59-2.78
Li: 0.7500 0.6055 0.2857  2 Si 2.59-2.65
Li: 0.2500 0.8734 0.2304  1 Li 2.47, 2 Si 2.61
Si: 0.7500 0.3785 0.1469  7 Li 2.59-2.78
Ac: 0.2500 0.2106 0.9868  2 Si 3.24, 9 Li 3.27-3.47
Li: 0.2500 0.3945 0.7143  2 Si 2.59-2.65
Li: 0.2500 0.5397 0.0907  1 Li 2.47, 1 Si 2.66
Li: 0.2500 0.8945 0.7857  2 Si 2.59-2.65
Li: 0.7500 0.1266 0.7696  1 Li 2.47, 2 Si 2.61
Li: 0.2500 0.3734 0.2696  1 Li 2.47, 2 Si 2.61
Li: 0.2500 0.0397 0.4093  1 Li 2.47, 1 Si 2.66
Li: 0.7500 0.4603 0.9093  1 Li 2.47, 1 Si 2.66
Ac: 0.7500 0.7894 0.0132  2 Si 3.24, 9 Li 3.27-3.47
Ac: 0.2500 0.7106 0.5132  2 Si 3.24, 9 Li 3.27-3.47
Li: 0.7500 0.9603 0.5907  1 Li 2.47, 1 Si 2.66
Li: 0.7500 0.6266 0.7304  1 Li 2.47, 2 Si 2.61
Si: 0.2500 0.6215 0.8531  7 Li 2.59-2.78
Li: 0.7500 0.1055 0.2143  2 Si 2.59-2.65
Ac: 0.7500 0.2894 0.4868  2 Si 3.24, 9 Li 3.27-3.47
Si: 0.2500 0.1215 0.6469  7 Li 2.59-2.78



(6)
This record from Alexandria via LeMat-Bulk describes a relaxed structure of BaLaSc. The functional is PBE.

Output
Final energy in eV/cell: -12.31
Total moment in μB/f.u.: 0.0

Unit cell a=5.9341 b=5.9341 c=3.5401 alpha=90.00 beta=90.00 gamma=120.00
With the nearest neighbours (Å) after each atom.
Positions (direct):
La: 0.6667 0.3333 0.3332  2 La 3.54, 6 Sc 3.86, 6 Ba 3.86
Ba: 0.0000 0.0000 0.8331  3 Sc 3.43, 2 Ba 3.54
Sc: 0.3333 0.6667 0.8337  3 Ba 3.43, 2 Sc 3.54